w:
Pm2TmTe | PBE | relaxed

**Calculated volume**: 30.54 A^3/atom
**DOS at the Fermi energy**: 4.90 states/eV/f.u.

Unit cell a=3.9907 b=3.9907 c=7.6705 alpha=90.00 beta=90.00 gamma=90.00
Last column: nearest neighbours and their distance in Å.
Element x y z (fractional)
1 Pm 0.0000 0.0000 0.2290  4 Te 3.32, 4 Tm 3.51, 1 Pm 3.51
2 Pm 0.0000 0.0000 0.7710  4 Te 3.32, 4 Tm 3.51, 1 Pm 3.51
3 Tm 0.5000 0.5000 0.5000  8 Pm 3.51, 2 Te 3.84
4 Te 0.5000 0.5000 0.0000  8 Pm 3.32

=====

x:
Pm2TmTe | PBE | relaxed

**Calculated volume**: 33.40 A^3/atom
**DOS at the Fermi energy**: 5.16 states/eV/f.u.

Unit cell a=10.0714 b=10.0714 c=10.0714 alpha=22.71 beta=22.71 gamma=22.71
Last column: nearest neighbours and their distance in Å.
Element x y z (fractional)
1 Pm 0.0000 0.0000 0.0000  3 Te 3.15
2 Pm 0.1869 0.1869 0.1869  3 Te 3.14
3 Tm 0.7605 0.7605 0.7605  6 Pm 3.57-3.59, 6 Tm 3.97
4 Te 0.5934 0.5934 0.5934  6 Pm 3.14-3.15

=====

Most stable one: w, least stable one: x.

=====

w:
PmUTe2 | PBE | relaxed

**Calculated volume**: 36.36 A^3/atom
**DOS at the Fermi energy**: 4.66 states/eV/f.u.

Unit cell a=10.4319 b=10.4319 c=10.4319 alpha=22.47 beta=22.47 gamma=22.47
Last column: nearest neighbours and their distance in Å.
Element x y z (fractional)
1 Pm 0.0000 0.0000 0.0000  2 Te 3.09
2 U 0.5000 0.5000 0.5000  6 Te 3.08
3 Te 0.1013 0.1013 0.1013  3 U 3.08, 1 Pm 3.09
4 Te 0.8987 0.8987 0.8987  3 U 3.08, 1 Pm 3.09

=====

x:
PmUTe2 | PBE | relaxed

**Calculated volume**: 27.56 A^3/atom
**DOS at the Fermi energy**: 8.55 states/eV/f.u.

Unit cell a=3.7879 b=3.7879 c=7.6830 alpha=90.00 beta=90.00 gamma=90.00
Last column: nearest neighbours and their distance in Å.
Element x y z (fractional)
1 Pm 0.0000 0.0000 0.0000  8 Te 3.32
2 U 0.0000 0.0000 0.5000  8 Te 3.27
3 Te 0.5000 0.5000 0.2554  4 U 3.27, 4 Pm 3.32
4 Te 0.5000 0.5000 0.7446  4 U 3.27, 4 Pm 3.32

=====

Most stable one: x, least stable one: w.

=====

w:
PmY2Te | PBE | relaxed

**Calculated volume**: 30.10 A^3/atom
**DOS at the Fermi energy**: 5.45 states/eV/f.u.

Unit cell a=3.8822 b=3.8822 c=7.9890 alpha=90.00 beta=90.00 gamma=90.00
Last column: nearest neighbours and their distance in Å.
Element x y z (fractional)
1 Pm 0.0000 0.0000 0.0000  8 Y 3.54, 4 Pm 3.88
2 Y 0.5000 0.5000 0.2797  4 Te 3.26, 1 Y 3.52, 4 Pm 3.54
3 Y 0.5000 0.5000 0.7203  4 Te 3.26, 1 Y 3.52, 4 Pm 3.54
4 Te 0.0000 0.0000 0.5000  8 Y 3.26

=====

x:
PmY2Te | PBE | relaxed

**Calculated volume**: 30.47 A^3/atom
**DOS at the Fermi energy**: 4.90 states/eV/f.u.

Unit cell a=7.5368 b=9.9100 c=6.5278 alpha=90.00 beta=90.00 gamma=90.00
Last column: nearest neighbours and their distance in Å.
Element x y z (fractional)
1 Pm 0.0174 0.2500 0.1374  2 Te 3.20-3.22, 2 Y 3.57
2 Pm 0.4826 0.7500 0.6374  2 Te 3.20-3.22, 2 Y 3.57
3 Pm 0.5174 0.2500 0.3626  2 Te 3.20-3.22, 2 Y 3.57
4 Pm 0.9826 0.7500 0.8626  2 Te 3.20-3.22, 2 Y 3.57
5 Y 0.2002 0.0392 0.6198  3 Te 3.11-3.29, 2 Y 3.44
6 Y 0.2002 0.4608 0.6198  3 Te 3.11-3.29, 2 Y 3.44
7 Y 0.2998 0.5392 0.1198  3 Te 3.11-3.29, 2 Y 3.44
8 Y 0.2998 0.9608 0.1198  3 Te 3.11-3.29, 2 Y 3.44
9 Y 0.7002 0.0392 0.8802  3 Te 3.11-3.29, 2 Y 3.44
10 Y 0.7002 0.4608 0.8802  3 Te 3.11-3.29, 2 Y 3.44
11 Y 0.7998 0.5392 0.3802  3 Te 3.11-3.29, 2 Y 3.44
12 Y 0.7998 0.9608 0.3802  3 Te 3.11-3.29, 2 Y 3.44
13 Te 0.1104 0.7500 0.3958  6 Y 3.11-3.29, 2 Pm 3.20-3.22
14 Te 0.3896 0.2500 0.8958  6 Y 3.11-3.29, 2 Pm 3.20-3.22
15 Te 0.6104 0.7500 0.1042  6 Y 3.11-3.29, 2 Pm 3.20-3.22
16 Te 0.8896 0.2500 0.6042  6 Y 3.11-3.29, 2 Pm 3.20-3.22

=====

Most stable one: x, least stable one: w.

=====

w:
PmY2Te | PBE | relaxed

**Calculated volume**: 34.65 A^3/atom
**DOS at the Fermi energy**: 5.38 states/eV/f.u.

Unit cell a=10.9377 b=10.9377 c=10.9377 alpha=20.36 beta=20.36 gamma=20.36
Last column: nearest neighbours and their distance in Å.
Element x y z (fractional)
1 Pm 0.0000 0.0000 0.0000  2 Y 3.31
2 Y 0.1030 0.1030 0.1030  3 Te 3.03, 1 Pm 3.31
3 Y 0.8970 0.8970 0.8970  3 Te 3.03, 1 Pm 3.31
4 Te 0.5000 0.5000 0.5000  6 Y 3.03

=====

x:
PmY2Te | PBE | relaxed

**Calculated volume**: 30.35 A^3/atom
**DOS at the Fermi energy**: 5.69 states/eV/f.u.

Unit cell a=6.4582 b=6.4582 c=9.8630 alpha=90.00 beta=90.00 gamma=143.83
Last column: nearest neighbours and their distance in Å.
Element x y z (fractional)
1 Pm 0.0559 0.9441 0.7500  3 Te 3.27-3.55, 4 Y 3.60
2 Pm 0.9441 0.0559 0.2500  3 Te 3.27-3.55, 4 Y 3.60
3 Y 0.3638 0.6362 0.5367  3 Te 3.14-3.25, 3 Y 3.42-3.51
4 Y 0.3638 0.6362 0.9633  3 Te 3.14-3.25, 3 Y 3.42-3.51
5 Y 0.6362 0.3638 0.0367  3 Te 3.14-3.25, 3 Y 3.42-3.51
6 Y 0.6362 0.3638 0.4633  3 Te 3.14-3.25, 3 Y 3.42-3.51
7 Te 0.2335 0.7665 0.2500  6 Y 3.14-3.25, 2 Pm 3.27
8 Te 0.7665 0.2335 0.7500  6 Y 3.14-3.25, 2 Pm 3.27

=====

Most stable one: x, least stable one: w.

=====

w:
PmY6Te8 | PBE | relaxed

**Calculated volume**: 31.10 A^3/atom
**DOS at the Fermi energy**: 7.04 states/eV/f.u.

Unit cell a=8.7051 b=8.7051 c=8.7051 alpha=60.00 beta=60.00 gamma=60.00
Last column: nearest neighbours and their distance in Å.
Element x y z (fractional)
1 Pm 0.0000 0.0000 0.0000  6 Te 3.20
2 Y 0.0000 0.0000 0.5000  6 Te 3.08
3 Y 0.0000 0.5000 0.0000  6 Te 3.08
4 Y 0.0000 0.5000 0.5000  6 Te 3.08
5 Y 0.5000 0.0000 0.0000  6 Te 3.08
6 Y 0.5000 0.0000 0.5000  6 Te 3.08
7 Y 0.5000 0.5000 0.0000  6 Te 3.08
8 Te 0.2500 0.2500 0.2500  6 Y 3.08
9 Te 0.2598 0.2598 0.7402  4 Y 3.08, 1 Pm 3.20
10 Te 0.2598 0.7402 0.2598  4 Y 3.08, 1 Pm 3.20
11 Te 0.2598 0.7402 0.7402  4 Y 3.08, 1 Pm 3.20
12 Te 0.7402 0.2598 0.2598  4 Y 3.08, 1 Pm 3.20
13 Te 0.7402 0.2598 0.7402  4 Y 3.08, 1 Pm 3.20
14 Te 0.7402 0.7402 0.2598  4 Y 3.08, 1 Pm 3.20
15 Te 0.7500 0.7500 0.7500  6 Y 3.08

=====

x:
PmY6Te8 | PBE | relaxed

**Calculated volume**: 30.97 A^3/atom
**DOS at the Fermi energy**: 9.26 states/eV/f.u.

Unit cell a=8.1895 b=8.1895 c=8.1895 alpha=69.38 beta=69.38 gamma=69.38
Last column: nearest neighbours and their distance in Å.
Element x y z (fractional)
1 Pm 0.0000 0.0000 0.0000  6 Te 3.13
2 Y 0.0817 0.6908 0.4522  7 Te 3.09-3.29
3 Y 0.3092 0.5478 0.9183  7 Te 3.09-3.29
4 Y 0.4522 0.0817 0.6908  7 Te 3.09-3.29
5 Y 0.5478 0.9183 0.3092  7 Te 3.09-3.29
6 Y 0.6908 0.4522 0.0817  7 Te 3.09-3.29
7 Y 0.9183 0.3092 0.5478  7 Te 3.09-3.29
8 Te 0.0998 0.3701 0.8102  5 Y 3.09-3.29, 1 Pm 3.13
9 Te 0.1898 0.9002 0.6299  5 Y 3.09-3.29, 1 Pm 3.13
10 Te 0.3231 0.3231 0.3231  6 Y 3.20-3.27
11 Te 0.3701 0.8102 0.0998  5 Y 3.09-3.29, 1 Pm 3.13
12 Te 0.6299 0.1898 0.9002  5 Y 3.09-3.29, 1 Pm 3.13
13 Te 0.6769 0.6769 0.6769  6 Y 3.20-3.27
14 Te 0.8102 0.0998 0.3701  5 Y 3.09-3.29, 1 Pm 3.13
15 Te 0.9002 0.6299 0.1898  5 Y 3.09-3.29, 1 Pm 3.13

=====

Most stable one: w, least stable one: x.

=====

w:
Pm2ZnTe | PBE | relaxed

**Calculated volume**: 26.76 A^3/atom
**DOS at the Fermi energy**: 3.38 states/eV/f.u.

Unit cell a=3.9163 b=3.9163 c=6.9791 alpha=90.00 beta=90.00 gamma=90.00
Last column: nearest neighbours and their distance in Å.
Element x y z (fractional)
1 Pm 0.0000 0.0000 0.2438  4 Zn 3.25, 4 Te 3.30, 2 Pm 3.40-3.58
2 Pm 0.0000 0.0000 0.7562  4 Zn 3.25, 4 Te 3.30, 2 Pm 3.40-3.58
3 Zn 0.5000 0.5000 0.0000  8 Pm 3.25, 2 Te 3.49
4 Te 0.5000 0.5000 0.5000  8 Pm 3.30, 2 Zn 3.49

=====

x:
Pm2ZnTe | PBE | relaxed

**Calculated volume**: 26.88 A^3/atom
**DOS at the Fermi energy**: 5.11 states/eV/f.u.

Unit cell a=5.3372 b=5.3372 c=5.3372 alpha=60.00 beta=60.00 gamma=60.00
Last column: nearest neighbours and their distance in Å.
Element x y z (fractional)
1 Pm 0.2500 0.2500 0.2500  4 Te 3.27, 4 Zn 3.27
2 Pm 0.7500 0.7500 0.7500  4 Te 3.27, 4 Zn 3.27
3 Zn 0.0000 0.0000 0.0000  8 Pm 3.27
4 Te 0.5000 0.5000 0.5000  8 Pm 3.27

=====

y:
Pm2ZnTe | PBE | relaxed

**Calculated volume**: 29.62 A^3/atom
**DOS at the Fermi energy**: 2.34 states/eV/f.u.

Unit cell a=7.9720 b=7.9720 c=7.9720 alpha=30.89 beta=30.89 gamma=30.89
Last column: nearest neighbours and their distance in Å.
Element x y z (fractional)
1 Pm 0.2479 0.2479 0.2479  3 Zn 3.07, 3 Te 3.13
2 Pm 0.7521 0.7521 0.7521  3 Zn 3.07, 3 Te 3.13
3 Zn 0.5000 0.5000 0.5000  6 Pm 3.07
4 Te 0.0000 0.0000 0.0000  6 Pm 3.13

=====

Most stable one: y, least stable one: x.

=====

w:
Pm5Th | PBE | relaxed

**Calculated volume**: 34.08 A^3/atom
**DOS at the Fermi energy**: 9.47 states/eV/f.u.

Unit cell a=3.6364 b=3.6364 c=17.8540 alpha=90.00 beta=90.00 gamma=120.00
Last column: nearest neighbours and their distance in Å.
Element x y z (fractional)
1 Pm 0.0000 0.0000 0.0000  12 Pm 3.64
2 Pm 0.3333 0.6667 0.1664  12 Pm 3.64-3.73
3 Pm 0.3333 0.6667 0.6611  3 Th 3.56, 9 Pm 3.64-3.73
4 Pm 0.6667 0.3333 0.3389  3 Th 3.56, 9 Pm 3.64-3.73
5 Pm 0.6667 0.3333 0.8336  12 Pm 3.64-3.73
6 Th 0.0000 0.0000 0.5000  6 Pm 3.56, 6 Th 3.64

=====

x:
Pm5Th | PBE | relaxed

**Calculated volume**: 34.04 A^3/atom
**DOS at the Fermi energy**: 9.45 states/eV/f.u.

Unit cell a=8.1366 b=8.1366 c=5.1394 alpha=90.00 beta=90.00 gamma=143.11
Last column: nearest neighbours and their distance in Å.
Element x y z (fractional)
1 Pm 0.0000 0.0000 0.0000  8 Pm 3.59-3.61, 4 Th 3.64
2 Pm 0.1640 0.8360 0.5000  10 Pm 3.61-3.71, 2 Th 3.61
3 Pm 0.3375 0.6625 0.0000  2 Th 3.59, 10 Pm 3.59-3.73
4 Pm 0.6625 0.3375 0.0000  2 Th 3.59, 10 Pm 3.59-3.73
5 Pm 0.8360 0.1640 0.5000  10 Pm 3.61-3.71, 2 Th 3.61
6 Th 0.5000 0.5000 0.5000  12 Pm 3.59-3.64

=====

Most stable one: w, least stable one: x.

=====

w:
Pm4Th | PBE | relaxed

**Calculated volume**: 33.97 A^3/atom
**DOS at the Fermi energy**: 7.14 states/eV/f.u.

Unit cell a=14.9702 b=14.9702 c=14.9702 alpha=13.96 beta=13.96 gamma=13.96
Last column: nearest neighbours and their distance in Å.
Element x y z (fractional)
1 Pm 0.1023 0.1023 0.1023  3 Th 3.55, 9 Pm 3.64-3.73
2 Pm 0.3004 0.3004 0.3004  12 Pm 3.60-3.73
3 Pm 0.6996 0.6996 0.6996  12 Pm 3.60-3.73
4 Pm 0.8977 0.8977 0.8977  3 Th 3.55, 9 Pm 3.64-3.73
5 Th 0.5000 0.5000 0.5000  6 Pm 3.55, 6 Th 3.64

=====

x:
Pm4Th | PBE | relaxed

**Calculated volume**: 41.36 A^3/atom
**DOS at the Fermi energy**: 6.16 states/eV/f.u.

Unit cell a=5.9136 b=5.9136 c=5.9136 alpha=90.00 beta=90.00 gamma=90.00
Last column: nearest neighbours and their distance in Å.
Element x y z (fractional)
1 Pm 0.0000 0.0000 0.0000  12 Pm 4.18
2 Pm 0.0000 0.5000 0.5000  2 Th 2.96
3 Pm 0.5000 0.0000 0.5000  2 Th 2.96
4 Pm 0.5000 0.5000 0.0000  2 Th 2.96
5 Th 0.5000 0.5000 0.5000  6 Pm 2.96

=====

Most stable one: w, least stable one: x.